Here is Pu3PbO3 after structural relaxation from Alexandria. Energies are from PBE.

Crystal system: trigonal
Formation energy from raw total energies in eV per atom: -2.171

Lattice parameters (Å, degrees): 6.6851 6.6851 24.2252 90.00 90.00 120.00
Space group R-3 (No. 148, hexagonal axes)
Symmetry-distinct sites (fractional):
Pu 0.0007 0.6623 0.3928 [18 per cell]
Pb 0.0000 0.0000 0.1666 [6 per cell]
O 0.0012 0.6695 0.6293 [18 per cell]

=====

Here is PuPb3O6 after structural relaxation from Alexandria. Energies are from PBE.

Crystal system: trigonal
Formation energy from raw total energies in eV per atom: -1.704

Lattice parameters (Å, degrees): 10.4351 10.4351 11.6609 90.00 90.00 120.00
Space group R-3 (No. 148, hexagonal axes)
Symmetry-distinct sites (fractional):
Pu 0.0000 0.0000 0.0000 [3 per cell]
Pu 0.0000 0.0000 0.5000 [3 per cell]
Pb 0.0396 0.7732 0.2098 [18 per cell]
O 0.0126 0.8476 0.8932 [18 per cell]
O 0.0453 0.8562 0.4022 [18 per cell]

=====

Here is Pu2PbO after structural relaxation from Alexandria. Energies are from PBE.

Relative energy among the computed polymorphs in eV/atom: 0.382
Crystal system: tetragonal
Formation energy from raw total energies in eV per atom: -0.937

Lattice parameters (Å, degrees): 3.187 3.187 8.223 90.00 90.00 90.00
Space group P4/mmm (No. 123)
Symmetry-distinct sites (fractional):
Pu 0.000 0.000 0.187 [2 per cell]
Pb 0.500 0.500 0.500 [1 per cell]
O 0.500 0.500 0.000 [1 per cell]

=====

Going through the records in order, we get energy values of -460.68 -433.51 -41.08 eV for the cell shown.